Below is an optimized crystal structure of Be2RuAu, with properties calculated at the PBE level.

## Properties
ΔE_f	-0.047	eV/atom
spin magnetization	1.4	Bohr magnetons per cell
calculated total energy	-40.39	eV per cell

```
data_Be2RuAu
_symmetry_space_group_name_H-M 'C 1 m 1'
_symmetry_Int_Tables_number 8
_symmetry_space_group_name_Hall 'C -2y'
_cell_length_a 8.767
_cell_length_b 2.754
_cell_length_c 4.182
_cell_angle_alpha 90.00
_cell_angle_beta 105.36
_cell_angle_gamma 90.00
loop_
_atom_site_label
_atom_site_fract_x
_atom_site_fract_y
_atom_site_fract_z
Be1 0.000 0.000 0.000
Be2 0.234 0.500 0.348
Ru1 0.481 0.000 0.470
Au1 0.251 0.000 0.863
```


Below is an optimized crystal structure of BeRuAu2, with properties calculated at the PBE level.

## Properties
ΔE_f	0.352	eV/atom
spin magnetization	3.5	Bohr magnetons per cell
calculated total energy	-72.59	eV per cell

```
data_BeRuAu2
_symmetry_space_group_name_H-M 'F -4 3 m'
_symmetry_Int_Tables_number 216
_symmetry_space_group_name_Hall 'F -4 2 3'
_cell_length_a 6.234
_cell_length_b 6.234
_cell_length_c 6.234
_cell_angle_alpha 90.00
_cell_angle_beta 90.00
_cell_angle_gamma 90.00
loop_
_atom_site_label
_atom_site_fract_x
_atom_site_fract_y
_atom_site_fract_z
Be1 0.000 0.000 0.000
Ru1 0.250 0.250 0.750
Au1 0.000 0.000 0.500
Au2 0.250 0.250 0.250
```


Below is an optimized crystal structure of Be3RuAu, with properties calculated at the PBE level.

## Properties
ΔE_f	0.617	eV/atom
spin magnetization	0.0	Bohr magnetons per cell
calculated total energy	-20.65	eV per cell

```
data_Be3RuAu
_symmetry_space_group_name_H-M 'P m -3 m'
_symmetry_Int_Tables_number 221
_symmetry_space_group_name_Hall '-P 4 2 3'
_cell_length_a 4.133
_cell_length_b 4.133
_cell_length_c 4.133
_cell_angle_alpha 90.00
_cell_angle_beta 90.00
_cell_angle_gamma 90.00
loop_
_atom_site_label
_atom_site_fract_x
_atom_site_fract_y
_atom_site_fract_z
Be1 0.000 0.000 0.500
Ru1 0.000 0.000 0.000
Au1 0.500 0.500 0.500
```